one) LiScNi: optimized geometry, PBE.

* calculated volume: 18.1 Å³ per atom
* density of states at the Fermi level: 1.28 states/eV/f.u.
* spin magnetization: 0.00 μB/atom

Cell lengths 6.016, 6.016, 6.016 Å; angles 90.00, 90.00, 90.00 degrees
Space group F-43m (No. 216)
Asymmetric unit:
1 Li 0.000 0.000 0.000 x4
2 Sc 0.000 0.000 0.500 x4
3 Ni 0.250 0.250 0.250 x4

---

two) LiScNi: optimized geometry, PBE.

* calculated volume: 15.9 Å³ per atom
* density of states at the Fermi level: 2.26 states/eV/f.u.
* spin magnetization: 0.00 μB/atom

Cell lengths 3.254, 3.254, 9.000 Å; angles 90.00, 90.00, 90.00 degrees
Space group I4mm (No. 107)
Asymmetric unit:
1 Li 0.000 0.000 0.000 x2
2 Sc 0.000 0.000 0.296 x2
3 Ni 0.000 0.000 0.649 x2

---

Most stable to least stable, the ends of the list are two) and one).

---

one) LiScNi: optimized geometry, PBE.

* calculated volume: 15.7 Å³ per atom
* density of states at the Fermi level: 2.15 states/eV/f.u.
* spin magnetization: 0.00 μB/atom

Cell lengths 4.1902, 4.1902, 3.0881 Å; angles 90.00, 90.00, 120.00 degrees
Space group P3m1 (No. 156)
Asymmetric unit:
1 Li 0.0000 0.0000 0.0000 x1
2 Sc 0.3333 0.6667 0.5546 x1
3 Ni 0.6667 0.3333 0.1082 x1

---

two) LiScNi: optimized geometry, PBE.

* calculated volume: 18.4 Å³ per atom
* density of states at the Fermi level: 1.23 states/eV/f.u.
* spin magnetization: 0.00 μB/atom

Cell lengths 3.2448, 3.2448, 6.0563 Å; angles 90.00, 90.00, 120.00 degrees
Space group P3m1 (No. 156)
Asymmetric unit:
1 Li 0.0000 0.0000 0.0000 x1
2 Sc 0.6667 0.3333 0.5605 x1
3 Ni 0.3333 0.6667 0.2895 x1

---

three) LiScNi: optimized geometry, PBE.

* calculated volume: 16.0 Å³ per atom
* density of states at the Fermi level: 1.54 states/eV/f.u.
* spin magnetization: 0.00 μB/atom

Cell lengths 6.793, 3.559, 11.919 Å; angles 90.00, 91.38, 90.00 degrees
Space group P2_1/m (No. 11)
Asymmetric unit:
1 Li 0.011 0.250 0.081 x2
2 Li 0.127 0.750 0.539 x2
3 Li 0.381 0.250 0.202 x2
4 Sc 0.058 0.750 0.283 x2
5 Sc 0.345 0.250 0.915 x2
6 Sc 0.449 0.250 0.621 x2
7 Ni 0.237 0.750 0.750 x2
8 Ni 0.264 0.250 0.410 x2
9 Ni 0.267 0.750 0.072 x2

---

four) LiScNi: optimized geometry, PBE.

* calculated volume: 18.5 Å³ per atom
* density of states at the Fermi level: 1.32 states/eV/f.u.
* spin magnetization: 0.00 μB/atom

Cell lengths 6.055, 6.055, 6.055 Å; angles 90.00, 90.00, 90.00 degrees
Space group F-43m (No. 216)
Asymmetric unit:
1 Li 0.000 0.000 0.000 x4
2 Sc 0.250 0.250 0.750 x4
3 Ni 0.000 0.000 0.500 x4

---

Most stable to least stable, the ends of the list are three) and four).

---

one) Li2ScNi2: optimized geometry, PBE.

* calculated volume: 13.5 Å³ per atom
* density of states at the Fermi level: 2.53 states/eV/f.u.
* spin magnetization: 0.00 μB/atom

Cell lengths 6.918, 6.918, 2.818 Å; angles 90.00, 90.00, 90.00 degrees
Space group P4/mbm (No. 127)
Asymmetric unit:
1 Li 0.113 0.387 0.000 x4
2 Sc 0.000 0.000 0.000 x2
3 Ni 0.187 0.687 0.500 x4

---

two) Li2ScNi2: optimized geometry, PBE.

* calculated volume: 14.8 Å³ per atom
* density of states at the Fermi level: 2.46 states/eV/f.u.
* spin magnetization: 0.00 μB/atom

Cell lengths 3.498, 3.498, 12.115 Å; angles 90.00, 90.00, 90.00 degrees
Space group I4/mmm (No. 139)
Asymmetric unit:
1 Li 0.000 0.500 0.250 x4
2 Sc 0.000 0.000 0.000 x2
3 Ni 0.000 0.000 0.404 x4

---

Most stable to least stable, the ends of the list are two) and one).

---

one) LiNiSe: optimized geometry, PBE.

* calculated volume: 14.7 Å³ per atom
* density of states at the Fermi level: 2.02 states/eV/f.u.
* spin magnetization: 0.00 μB/atom

Cell lengths 5.605, 5.605, 5.605 Å; angles 90.00, 90.00, 90.00 degrees
Space group F-43m (No. 216)
Asymmetric unit:
1 Li 0.000 0.000 0.000 x4
2 Ni 0.250 0.250 0.250 x4
3 Se 0.000 0.000 0.500 x4

---

two) LiNiSe: optimized geometry, PBE.

* calculated volume: 16.3 Å³ per atom
* density of states at the Fermi level: 2.19 states/eV/f.u.
* spin magnetization: 0.16 μB/atom

Cell lengths 4.0192, 4.0192, 6.9793 Å; angles 90.00, 90.00, 120.00 degrees
Space group P3m1 (No. 156)
Asymmetric unit:
1 Li 0.0000 0.0000 0.0000 x1
2 Li 0.3333 0.6667 0.2887 x1
3 Ni 0.3333 0.6667 0.6901 x1
4 Ni 0.6667 0.3333 0.7924 x1
5 Se 0.0000 0.0000 0.6111 x1
6 Se 0.6667 0.3333 0.1314 x1

---

three) LiNiSe: optimized geometry, PBE.

* calculated volume: 15.5 Å³ per atom
* density of states at the Fermi level: 2.26 states/eV/f.u.
* spin magnetization: 0.00 μB/atom

Cell lengths 4.0572, 4.0572, 19.5976 Å; angles 90.00, 90.00, 120.00 degrees
Space group R-3m (No. 166, hexagonal axes)
Asymmetric unit:
1 Li 0.0000 0.0000 0.1253 x6
2 Ni 0.0000 0.0000 0.3655 x6
3 Se 0.0000 0.0000 0.0000 x3
4 Se 0.0000 0.0000 0.5000 x3

---

Most stable to least stable, the ends of the list are two) and one).

---

one) LiNiSe: optimized geometry, PBE.

* calculated volume: 15.5 Å³ per atom
* density of states at the Fermi level: 0.93 states/eV/f.u.
* spin magnetization: 0.00 μB/atom

Cell lengths 8.745, 3.481, 6.143 Å; angles 90.00, 95.74, 90.00 degrees
Space group Cm (No. 8)
Asymmetric unit:
1 Li 0.000 0.000 0.000 x2
2 Li 0.243 0.000 0.642 x2
3 Ni 0.139 0.500 0.336 x2
4 Ni 0.434 0.500 0.413 x2
5 Se 0.033 0.500 0.681 x2
6 Se 0.290 0.000 0.203 x2

---

two) LiNiSe: optimized geometry, PBE.

* calculated volume: 17.8 Å³ per atom
* density of states at the Fermi level: 3.10 states/eV/f.u.
* spin magnetization: 0.00 μB/atom

Cell lengths 4.038, 4.932, 6.368 Å; angles 70.31, 71.82, 66.07 degrees
Space group P-1 (No. 2)
Asymmetric unit:
1 Li 0.042 0.202 0.215 x2
2 Ni 0.265 0.582 0.387 x2
3 Se 0.260 0.226 0.756 x2

---

Most stable to least stable, the ends of the list are one) and two).